First-principles (GGA-PBE) data for an optimized crystal structure of VWBr2, as listed in Alexandria. Values from VASP.

density of states at the Fermi level: 4.845 states/eV/f.u.
raw total energy: -0.1925 Ha/atom
crystal system: cubic
energy relative to the elements, uncorrected: 1117.3 meV per atom
ΔE to the lowest computed polymorph: 500 meV/atom
space group: No. 225

```
&SYSTEM
  ibrav = 0, nat = 4, ntyp = 3
/
ATOMIC_SPECIES
Br 79.90 Br.upf
W 183.84 W.upf
V 50.94 V.upf
CELL_PARAMETERS angstrom
0.000 3.257 3.257
3.257 0.000 3.257
3.257 3.257 0.000
ATOMIC_POSITIONS crystal
Br 0.250 0.250 0.250
Br 0.750 0.750 0.750
W 0.500 0.500 0.500
V 0.000 0.000 0.000
```